VASP calculation (PBE-GGA) on In3Sn2Pd7 after structural relaxation.

Geometry as POSCAR:
```
In3Sn2Pd7
1.0
2.362 -10.299 0.000
2.362 10.299 0.000
0.000 0.000 4.738
In Sn Pd
3 2 7
direct
0.000 0.000 0.000 In
0.158 0.842 0.000 In
0.842 0.158 0.000 In
0.352 0.648 0.500 Sn
0.648 0.352 0.500 Sn
0.074 0.926 0.500 Pd
0.216 0.784 0.500 Pd
0.422 0.578 0.000 Pd
0.500 0.500 0.500 Pd
0.578 0.422 0.000 Pd
0.784 0.216 0.500 Pd
0.926 0.074 0.500 Pd
```

Output
- magnetic moment (μB/cell) = 0.0
- symmetry = Cmmm, No. 65
- D(E_F) (states/eV per atom) = 0.464
- formation energy (meV/atom) = -390

VASP calculation (PBE-GGA) on InSnPd6 after structural relaxation.

Geometry as POSCAR:
```
InSnPd6
1.0
4.042 0.000 0.000
0.000 4.042 0.000
0.000 0.000 8.067
In Sn Pd
1 1 6
direct
0.000 0.000 0.000 In
0.000 0.000 0.500 Sn
0.000 0.500 0.252 Pd
0.000 0.500 0.748 Pd
0.500 0.000 0.252 Pd
0.500 0.000 0.748 Pd
0.500 0.500 0.000 Pd
0.500 0.500 0.500 Pd
```

Output
- magnetic moment (μB/cell) = 0.0
- symmetry = P4/mmm, No. 123
- polymorph energy (0 for the lowest one) (meV/atom) = 0
- D(E_F) (states/eV per atom) = 0.568
- formation energy (meV/atom) = -471

VASP calculation (PBE-GGA) on InSn8Pd2 after structural relaxation.

Geometry as POSCAR:
```
InSn8Pd2
1.0
7.040 -4.173 0.000
7.040 4.173 0.000
-1.519 0.000 5.004
In Sn Pd
1 8 2
direct
0.000 0.000 0.000 In
0.153 0.591 0.644 Sn
0.179 0.179 0.768 Sn
0.409 0.847 0.356 Sn
0.413 0.413 0.170 Sn
0.587 0.587 0.830 Sn
0.591 0.153 0.644 Sn
0.821 0.821 0.232 Sn
0.847 0.409 0.356 Sn
0.241 0.241 0.310 Pd
0.759 0.759 0.690 Pd
```

Output
- magnetic moment (μB/cell) = 0.0
- symmetry = C2/m, No. 12
- D(E_F) (states/eV per atom) = 0.356
- formation energy (meV/atom) = -74